Below is Ac2Pm3Si2 after structural relaxation, with properties calculated at the PBE level.

Structure (extended XYZ):
```
7
Lattice="-0.242 -3.419 -2.684 4.222 -1.367 4.891 -8.459 -1.315 2.440" Properties=species:S:1:pos:R:3 pbc="T T T"
Ac 1.088 -4.092 1.585
Ac -5.568 -2.009 3.062
Pm -0.121 -1.709 -1.342
Pm -2.784 -3.096 0.665
Pm -1.696 -3.006 3.983
Si -3.926 -4.843 2.995
Si -0.554 -1.258 1.653
```

Results
Space group: C2/m
D(E_F) in states/eV/f.u.: 8.3
Magnetization in μB per formula unit: 0.00
Energy relative to the elements, uncorrected in eV/atom: -0.387